VASP calculation (PBE-GGA) on crystalline LiCuOs4 at its relaxed geometry.

Cell lengths 5.1266, 5.1266, 5.1266 Å; angles 60.00, 60.00, 60.00 degrees
Fractional positions:
Os (0.3751, 0.8748, 0.3751)
Os (0.8748, 0.3751, 0.3751)
Os (0.3751, 0.3751, 0.8748)
Os (0.3751, 0.3751, 0.3751)
Li (0.0000, 0.0000, 0.0000)
Cu (0.7500, 0.7500, 0.7500)

Calculated values
Uncorrected energy in eV for the cell shown: -46.54
Space-group type: No. 216
Volume in Å³/atom: 15.9
Total magnetic moment in μB/atom: 0.00
N(E_F) in states/eV/cell: 5.1
E_form in eV per atom: 0.731